(1)
The following is a DFT calculation (SCAN) of a PBEsol-optimized structure of Tb2Ni17.

```
38
Lattice="-1.032 4.242 -6.573 -6.890 -4.089 -1.557 -0.230 6.839 4.450" Properties=species:S:1:pos:R:3 pbc="T T T"
Tb -0.258 1.061 -1.643
Tb -4.928 0.614 -1.198
Tb -0.774 3.182 -4.930
Tb -3.224 6.378 -2.483
Ni -5.809 7.123 -3.763
Ni -2.228 5.741 -5.217
Ni -0.645 3.422 -0.058
Ni -5.597 3.364 -5.460
Ni -7.507 3.569 -3.623
Ni -5.924 1.251 1.536
Ni -6.396 3.192 -1.471
Ni -0.714 5.479 1.280
Ni -0.631 5.541 -1.062
Ni -1.872 7.239 0.028
Ni -4.743 3.088 0.369
Ni -7.438 1.513 -4.961
Ni -2.555 3.628 1.778
Ni -5.808 -2.188 -0.702
Ni -0.115 3.419 2.225
Ni -3.445 -2.045 -0.779
Ni -2.861 4.886 -0.171
Ni -3.344 1.962 -5.314
Ni -5.416 0.732 -5.782
Ni -3.961 0.076 -4.065
Ni -2.343 -0.132 0.081
Ni -6.281 -0.248 -3.709
Ni -5.550 4.731 -3.181
Ni -2.815 1.809 -2.926
Ni -2.344 9.180 -2.979
Ni -3.560 1.375 1.446
Ni -5.337 5.183 -0.756
Ni -3.409 3.904 -4.050
Ni -5.291 2.106 -3.511
Ni -2.602 2.261 -0.501
Ni -4.808 5.030 1.633
Ni -1.756 3.800 -2.210
Ni -2.736 6.260 2.101
Ni -4.076 3.496 -1.841
```

DOS at the Fermi energy, states/eV/cell: 35.36
Crystal system: hexagonal
Final energy, eV/atom: -19.58
E_form, eV/atom: -0.185

(2)
The following is a DFT calculation (SCAN) of a PBEsol-optimized structure of TbNi.

```
4
Lattice="-3.002 0.617 1.933 1.470 -2.474 3.073 3.689 3.645 1.170" Properties=species:S:1:pos:R:3 pbc="T T T"
Ni 2.969 1.517 4.128
Ni -0.813 0.270 2.048
Tb 1.711 -0.756 2.899
Tb 0.446 2.544 3.277
```

DOS at the Fermi energy, states/eV/cell: 2.63
Crystal system: orthorhombic
Final energy, eV/atom: -31.91
E_form, eV/atom: -0.438

(3)
The following is a DFT calculation (SCAN) of a PBEsol-optimized structure of TbNi2.

```
6
Lattice="4.985 0.000 0.000 2.493 4.317 0.000 2.493 1.439 4.070" Properties=species:S:1:pos:R:3 pbc="T T T"
Tb 7.478 4.317 3.053
Tb 4.985 2.878 2.035
Ni 2.493 2.878 0.509
Ni 2.493 1.439 2.544
Ni 1.246 0.720 0.509
Ni 3.739 0.720 0.509
```

DOS at the Fermi energy, states/eV/cell: 2.44
Crystal system: cubic
Final energy, eV/atom: -26.82
E_form, eV/atom: -0.446

(4)
The following is a DFT calculation (SCAN) of a PBEsol-optimized structure of Tb2Ni7.

```
36
Lattice="-4.034 -1.360 -2.335 2.700 -3.309 2.309 -12.663 3.507 19.834" Properties=species:S:1:pos:R:3 pbc="T T T"
Tb 0.085 -2.556 1.342
Tb -14.081 1.395 18.466
Tb -8.492 -0.153 9.711
Tb -5.505 -1.008 10.097
Tb -1.748 -2.049 4.213
Tb -12.248 0.887 15.595
Tb -10.325 0.354 12.582
Tb -3.672 -1.516 7.226
Ni 0.000 0.000 0.000
Ni -6.332 1.753 9.917
Ni -6.076 -0.808 3.398
Ni -4.061 -0.129 4.565
Ni -4.727 -2.461 4.552
Ni -7.920 -0.353 16.410
Ni -9.935 -1.032 15.243
Ni -9.269 1.299 15.256
Ni -3.994 -1.385 0.139
Ni -1.981 -0.706 1.304
Ni -2.646 -3.036 1.291
Ni -10.003 0.223 19.669
Ni -12.016 -0.455 18.504
Ni -11.351 1.875 18.517
Ni -5.840 -0.929 13.149
Ni -7.853 -1.608 11.984
Ni -7.188 0.722 11.997
Ni -8.157 -0.232 6.659
Ni -6.143 0.447 7.824
Ni -6.809 -1.883 7.811
Ni -2.124 0.588 3.326
Ni -10.540 2.919 16.508
Ni -8.455 2.342 13.243
Ni -4.208 1.165 6.591
Ni -10.088 0.261 17.275
Ni -3.909 -1.422 2.533
Ni -6.001 -0.843 5.810
Ni -7.995 -0.319 13.998
```

DOS at the Fermi energy, states/eV/cell: 27.77
Crystal system: hexagonal
Final energy, eV/atom: -23.34
E_form, eV/atom: -0.372

(5)
The following is a DFT calculation (SCAN) of a PBEsol-optimized structure of Tb2Ni7.

```
18
Lattice="4.856 0.000 0.000 2.428 4.205 0.000 2.428 1.402 11.889" Properties=species:S:1:pos:R:3 pbc="T T T"
Tb 7.284 4.205 1.808
Tb 2.428 1.402 10.081
Tb 7.284 4.205 5.249
Tb 2.428 1.402 6.640
Ni 4.856 4.208 3.909
Ni 6.073 2.101 3.909
Ni 3.639 2.101 3.909
Ni 4.856 1.399 7.980
Ni 3.639 3.506 7.980
Ni 6.073 3.506 7.980
Ni 1.214 2.103 0.000
Ni 3.642 2.103 0.000
Ni 2.428 0.000 0.000
Ni 7.284 4.205 9.924
Ni 2.428 1.402 1.965
Ni 4.856 2.804 1.958
Ni 4.856 2.804 9.931
Ni 4.856 2.804 5.944
```

DOS at the Fermi energy, states/eV/cell: 13.05
Crystal system: trigonal
Final energy, eV/atom: -23.34
E_form, eV/atom: -0.373

(6)
The following is a DFT calculation (SCAN) of a PBEsol-optimized structure of TbYNi2.

```
8
Lattice="4.123 0.000 0.000 0.000 5.351 0.000 0.000 0.000 6.955" Properties=species:S:1:pos:R:3 pbc="T T T"
Tb 0.000 0.629 4.731
Tb 0.000 4.721 1.254
Y 2.061 2.047 2.224
Y 2.061 3.304 5.702
Ni 0.000 3.350 3.733
Ni 0.000 2.001 0.255
Ni 2.061 4.685 3.222
Ni 2.061 0.665 6.700
```

DOS at the Fermi energy, states/eV/cell: 5.23
Crystal system: orthorhombic
Final energy, eV/atom: -27.17
E_form, eV/atom: -0.436

(7)
The following is a DFT calculation (SCAN) of a PBEsol-optimized structure of TbZnNi.

```
9
Lattice="3.723 0.000 0.000 0.000 6.902 0.000 0.000 -3.451 5.977" Properties=species:S:1:pos:R:3 pbc="T T T"
Tb 0.000 -2.038 3.529
Tb 0.000 4.075 0.000
Tb 0.000 1.413 2.448
Zn 1.862 2.617 4.533
Zn 1.862 1.667 0.000
Zn 1.862 -0.834 1.444
Ni 0.000 0.000 0.000
Ni 1.862 0.000 3.985
Ni 1.862 3.451 1.992
```

DOS at the Fermi energy, states/eV/cell: 5.76
Crystal system: hexagonal
Final energy, eV/atom: -25.95
E_form, eV/atom: -0.471

(8)
The following is a DFT calculation (SCAN) of a PBEsol-optimized structure of Tb2ZnNi2.

```
5
Lattice="4.178 0.000 0.000 2.089 4.795 0.004 2.089 1.890 4.406" Properties=species:S:1:pos:R:3 pbc="T T T"
Ni 4.178 2.669 3.226
Ni 4.178 4.016 1.184
Zn 0.000 0.000 0.000
Tb 6.267 4.692 3.096
Tb 2.089 1.993 1.315
```

DOS at the Fermi energy, states/eV/cell: 2.60
Crystal system: orthorhombic
Final energy, eV/atom: -28.37
E_form, eV/atom: -0.490

(9)
The following is a DFT calculation (SCAN) of a PBEsol-optimized structure of TcNi3.

```
4
Lattice="2.510 0.000 0.000 0.000 4.091 0.000 0.000 0.000 4.384" Properties=species:S:1:pos:R:3 pbc="T T T"
Ni 0.000 0.000 0.021
Ni 1.255 0.000 2.242
Ni 1.255 2.046 3.620
Tc 0.000 2.046 1.424
```

DOS at the Fermi energy, states/eV/cell: 5.86
Crystal system: orthorhombic
Final energy, eV/atom: -20.80
E_form, eV/atom: 0.099

(10)
The following is a DFT calculation (SCAN) of a PBEsol-optimized structure of Tc5Ni.

```
6
Lattice="2.700 0.000 0.000 0.000 4.258 0.000 -1.350 0.000 6.986" Properties=species:S:1:pos:R:3 pbc="T T T"
Ni 0.000 0.000 0.030
Tc 0.000 2.129 3.124
Tc 0.000 0.000 4.679
Tc 1.350 2.129 0.740
Tc 1.350 0.000 2.263
Tc 1.350 2.129 5.465
```

DOS at the Fermi energy, states/eV/cell: 5.44
Crystal system: orthorhombic
Final energy, eV/atom: -31.92
E_form, eV/atom: -0.007

(11)
The following is a DFT calculation (SCAN) of a PBEsol-optimized structure of TcNi3.

```
4
Lattice="-1.133 -0.687 2.155 1.824 -1.702 0.416 3.712 4.833 3.491" Properties=species:S:1:pos:R:3 pbc="T T T"
Ni 2.751 3.581 2.587
Ni 0.962 1.252 0.904
Ni 2.202 1.222 3.031
Tc 0.346 -1.194 1.286
```

DOS at the Fermi energy, states/eV/cell: 5.41
Crystal system: tetragonal
Final energy, eV/atom: -20.84
E_form, eV/atom: 0.055

(12)
The following is a DFT calculation (SCAN) of a PBEsol-optimized structure of Tc5Ni.

```
6
Lattice="4.256 0.000 0.000 0.000 4.660 0.000 0.000 -2.330 4.035" Properties=species:S:1:pos:R:3 pbc="T T T"
Ni 2.128 0.000 0.000
Tc 0.000 0.758 1.313
Tc 0.000 3.144 0.000
Tc 0.000 -1.572 2.722
Tc 2.128 0.000 2.690
Tc 2.128 2.330 1.345
```

DOS at the Fermi energy, states/eV/cell: 5.17
Crystal system: hexagonal
Final energy, eV/atom: -31.96
E_form, eV/atom: -0.045

(13)
The following is a DFT calculation (SCAN) of a PBEsol-optimized structure of TcNi.

```
6
Lattice="-2.488 0.685 0.458 -0.222 -4.268 -2.322 0.671 -1.522 5.926" Properties=species:S:1:pos:R:3 pbc="T T T"
Ni -2.698 -3.564 -1.831
Ni -0.968 -3.502 -0.023
Ni -0.530 -3.632 2.557
Tc -1.529 -1.528 1.478
Tc 0.261 -1.324 3.400
Tc -1.251 -2.818 4.918
```

DOS at the Fermi energy, states/eV/cell: 6.19
Crystal system: monoclinic
Final energy, eV/atom: -25.56
E_form, eV/atom: 0.057

(14)
The following is a DFT calculation (SCAN) of a PBEsol-optimized structure of TcNi.

```
4
Lattice="2.510 0.000 0.000 0.000 4.019 0.000 -1.255 0.000 4.785" Properties=species:S:1:pos:R:3 pbc="T T T"
Ni 1.255 3.014 0.616
Ni 0.000 1.005 4.169
Tc 1.255 3.014 3.137
Tc 0.000 1.005 1.648
```

DOS at the Fermi energy, states/eV/cell: 2.71
Crystal system: orthorhombic
Final energy, eV/atom: -25.61
E_form, eV/atom: 0.004

(15)
The following is a DFT calculation (SCAN) of a PBEsol-optimized structure of Tc3Ni.

```
8
Lattice="-3.117 2.196 1.885 0.333 -2.699 3.694 3.603 3.314 2.097" Properties=species:S:1:pos:R:3 pbc="T T T"
Ni 0.223 -1.807 2.474
Ni 0.353 1.863 3.212
Tc -1.447 0.193 2.181
Tc 2.769 2.032 2.212
Tc 1.410 1.339 5.571
Tc 2.023 -0.137 3.504
Tc 0.949 0.357 1.152
Tc -0.373 -0.301 4.533
```

DOS at the Fermi energy, states/eV/cell: 4.08
Crystal system: orthorhombic
Final energy, eV/atom: -30.44
E_form, eV/atom: -0.106

(16)
The following is a DFT calculation (SCAN) of a PBEsol-optimized structure of TcNi5.

```
6
Lattice="-0.969 1.252 -1.962 -1.263 -4.546 -0.656 -4.189 2.206 3.477" Properties=species:S:1:pos:R:3 pbc="T T T"
Ni -2.247 -3.272 -2.597
Ni -2.533 -2.438 -0.303
Ni -2.483 0.036 -0.371
Ni -2.731 0.909 1.929
Ni -3.956 -1.153 1.219
Tc -5.201 0.979 1.574
```

DOS at the Fermi energy, states/eV/cell: 8.71
Crystal system: monoclinic
Final energy, eV/atom: -19.22
E_form, eV/atom: 0.098

(17)
The following is a DFT calculation (SCAN) of a PBEsol-optimized structure of TcNi3.

```
4
Lattice="2.522 0.000 0.000 0.000 4.344 0.001 -1.261 -0.710 4.102" Properties=species:S:1:pos:R:3 pbc="T T T"
Ni 0.000 0.734 2.036
Ni 1.261 2.900 2.066
Ni 1.261 0.000 0.000
Tc 0.000 2.172 0.000
```

DOS at the Fermi energy, states/eV/cell: 3.70
Crystal system: monoclinic
Final energy, eV/atom: -20.83
E_form, eV/atom: 0.066

(18)
The following is a DFT calculation (SCAN) of a PBEsol-optimized structure of TcNi7.

```
8
Lattice="-3.630 3.391 0.110 -4.723 -1.394 -0.665 -3.183 0.109 3.814" Properties=species:S:1:pos:R:3 pbc="T T T"
Ni -4.176 0.999 -0.277
Ni -2.361 -0.697 -0.333
Ni -3.953 -0.642 1.574
Ni -1.592 0.054 1.907
Ni -3.407 1.750 1.962
Ni -1.815 1.695 0.055
Ni -5.768 1.053 1.629
Tc 0.000 0.000 0.000
```

DOS at the Fermi energy, states/eV/cell: 7.86
Crystal system: cubic
Final energy, eV/atom: -18.44
E_form, eV/atom: 0.091

(19)
The following is a DFT calculation (SCAN) of a PBEsol-optimized structure of TcNi5.

```
6
Lattice="4.066 0.000 0.000 0.000 4.306 0.000 0.000 -2.153 3.729" Properties=species:S:1:pos:R:3 pbc="T T T"
Ni 0.000 0.723 1.252
Ni 0.000 2.861 0.000
Ni 0.000 -1.430 2.478
Ni 2.033 0.000 2.486
Ni 2.033 2.153 1.243
Tc 2.033 0.000 0.000
```

DOS at the Fermi energy, states/eV/cell: 9.31
Crystal system: hexagonal
Final energy, eV/atom: -19.24
E_form, eV/atom: 0.079

(20)
The following is a DFT calculation (SCAN) of a PBEsol-optimized structure of TcNi5.

```
6
Lattice="-0.230 1.797 -1.744 -2.018 0.904 1.198 6.138 6.243 5.626" Properties=species:S:1:pos:R:3 pbc="T T T"
Ni 5.054 5.141 4.632
Ni 1.084 1.102 0.993
Ni 2.923 5.467 3.436
Ni 0.967 3.478 1.644
Ni 3.069 3.122 2.813
Tc -1.124 1.351 -0.273
```

DOS at the Fermi energy, states/eV/cell: 6.13
Crystal system: tetragonal
Final energy, eV/atom: -19.28
E_form, eV/atom: 0.037

(21)
The following is a DFT calculation (SCAN) of a PBEsol-optimized structure of Tc3Ni.

```
16
Lattice="-0.212 -5.287 0.010 1.228 2.590 -4.447 8.304 -0.330 2.101" Properties=species:S:1:pos:R:3 pbc="T T T"
Ni 0.000 0.000 0.000
Ni 4.152 -0.165 1.050
Ni 6.496 -2.909 0.100
Ni 2.824 -0.118 -2.436
Tc 0.614 1.295 -2.224
Tc 4.766 1.130 -1.173
Tc 2.103 -4.061 -0.205
Tc 2.719 -2.761 -2.436
Tc 7.110 -1.618 -2.126
Tc 0.508 -1.348 -2.219
Tc 4.660 -1.513 -1.168
Tc -0.106 -2.643 0.005
Tc 4.046 -2.808 1.055
Tc 2.209 -1.409 -0.210
Tc 6.601 -0.265 0.100
Tc 7.217 1.034 -2.131
```

DOS at the Fermi energy, states/eV/cell: 7.56
Crystal system: hexagonal
Final energy, eV/atom: -30.40
E_form, eV/atom: -0.067

(22)
The following is a DFT calculation (SCAN) of a PBEsol-optimized structure of TcNi.

```
4
Lattice="2.574 0.000 0.000 0.000 4.160 0.000 0.000 0.000 4.510" Properties=species:S:1:pos:R:3 pbc="T T T"
Ni 0.000 1.040 1.572
Ni 0.000 3.120 2.938
Tc 1.287 3.120 0.741
Tc 1.287 1.040 3.770
```

DOS at the Fermi energy, states/eV/cell: 3.93
Crystal system: orthorhombic
Final energy, eV/atom: -25.64
E_form, eV/atom: -0.027

(23)
The following is a DFT calculation (SCAN) of a PBEsol-optimized structure of TcNi3.

```
4
Lattice="2.511 0.000 0.000 0.000 4.382 0.000 0.000 -1.531 4.106" Properties=species:S:1:pos:R:3 pbc="T T T"
Ni 0.000 0.000 0.000
Ni 1.256 -0.766 2.053
Ni 1.256 2.191 0.000
Tc 0.000 1.425 2.053
```

DOS at the Fermi energy, states/eV/cell: 5.99
Crystal system: orthorhombic
Final energy, eV/atom: -20.74
E_form, eV/atom: 0.150